A geometry-optimized Ce2BiO2 structure. Source: Alexandria, functional PBE-GGA.

Cell and atoms, written as POSCAR:
```
Ce2BiO2
1.0
-2.014 2.014 6.541
2.014 -2.014 6.541
2.014 2.014 -6.541
Ce Bi O
2 1 2
Cartesian
0.000 0.000 2.074
0.000 0.000 11.009
0.000 0.000 6.541
2.014 0.000 3.271
0.000 2.014 3.271
```

Summary:
Space group: I4/mmm, No. 139
Uncorrected formation energy (eV per formula unit): -13.0
Raw total energy (eV for the cell shown): -38.62
Size of the total moment (Bohr magnetons per cell): 1.127